# 1
This record from the Alexandria database describes Ca2CoRu after structural relaxation. The functional is PBE.

Lattice parameters (Å, degrees): 9.0668 9.0668 9.0668 20.53 20.53 20.53
With the nearest neighbours (Å) after each atom.
Element x y z (fractional)
Ca1 0.2491 0.2491 0.2491  3 Ru 2.88, 3 Co 2.92
Ca2 0.7509 0.7509 0.7509  3 Ru 2.88, 3 Co 2.92
Co1 0.0000 0.0000 0.0000  6 Ca 2.92, 6 Co 3.23
Ru1 0.5000 0.5000 0.5000  6 Ca 2.88

SG ... R-3m (166)
Mass density ... 5.0 g cm⁻³
Calculated formation energy ... 0.648 eV/atom

# 2
This record from the Alexandria database describes CePm4Se5 after structural relaxation. The functional is PBE.

Lattice parameters (Å, degrees): 11.1436 11.1436 11.1436 158.36 149.14 38.01
With the nearest neighbours (Å) after each atom.
Element x y z (fractional)
Ce1 0.0000 0.0000 0.0000  6 Se 2.97
Pm1 0.1983 0.1983 0.0000  6 Se 2.95-2.98
Pm2 0.4001 0.4001 0.0000  6 Se 2.97-2.98
Pm3 0.5999 0.5999 0.0000  6 Se 2.97-2.98
Pm4 0.8017 0.8017 0.0000  6 Se 2.95-2.98
Se1 0.0999 0.5999 0.5000  4 Pm 2.95-2.97, 2 Ce 2.97
Se2 0.2993 0.7993 0.5000  6 Pm 2.97-2.98
Se3 0.5000 0.0000 0.5000  2 Ce 2.97, 4 Pm 2.97
Se4 0.7007 0.2007 0.5000  6 Pm 2.97-2.98
Se5 0.9001 0.4001 0.5000  4 Pm 2.95-2.97, 2 Ce 2.97

SG ... Immm (71)
Mass density ... 7.1 g cm⁻³
Energy relative to the elements, uncorrected ... -1836 meV/atom

# 3
This record from the Alexandria database describes HfPd3O after structural relaxation. The functional is PBE.

Lattice parameters (Å, degrees): 4.2780 4.2780 4.2780 90.00 90.00 90.00
With the nearest neighbours (Å) after each atom.
Element x y z (fractional)
Hf1 0.0000 0.0000 0.0000  12 Pd 3.03
Pd1 0.0000 0.5000 0.5000  2 O 2.14
Pd2 0.5000 0.0000 0.5000  2 O 2.14
Pd3 0.5000 0.5000 0.0000  2 O 2.14
O1 0.5000 0.5000 0.5000  6 Pd 2.14

SG ... Pm-3m (221)
Mass density ... 10.9 g cm⁻³
Energy relative to the elements, uncorrected ... -204 meV/atom
Distance to the lowest polymorph of the same formula ... 0 meV per atom

What did the third record say?
This record from the Alexandria database describes HfPd3O after structural relaxation. The functional is PBE.

Lattice parameters (Å, degrees): 4.2780 4.2780 4.2780 90.00 90.00 90.00
With the nearest neighbours (Å) after each atom.
Element x y z (fractional)
Hf1 0.0000 0.0000 0.0000  12 Pd 3.03
Pd1 0.0000 0.5000 0.5000  2 O 2.14
Pd2 0.5000 0.0000 0.5000  2 O 2.14
Pd3 0.5000 0.5000 0.0000  2 O 2.14
O1 0.5000 0.5000 0.5000  6 Pd 2.14

SG ... Pm-3m (221)
Mass density ... 10.9 g cm⁻³
Energy relative to the elements, uncorrected ... -204 meV/atom
Distance to the lowest polymorph of the same formula ... 0 meV per atom

Q: Which value of mass density does entry 1 give?
A: 5.0 g cm⁻³

Q: Which formula does entry 3 have?
A: HfPd3O

Q: What is the mass density in the second record?
A: 7.1 g cm⁻³